(1)
Below is a relaxed ReNi2W crystal, with properties calculated at the PBE level.

```
ReNi2W
1.0
2.673 0.000 0.000
0.000 2.673 0.000
0.000 0.000 7.466
Re Ni W
1 2 1
Direct
0.000 0.000 0.000 Re
0.000 0.000 0.538 Ni
0.500 0.500 0.770 Ni
0.500 0.500 0.300 W
```

Computed properties:
* DOS(E_F): 2.89 states/eV per cell
* ΔH_f (0 K): 0.24 eV/f.u.
* symmetry: No. 99
* magnetic moment: 0.00 Bohr magnetons per cell

(2)
Below is a relaxed CoPbCl2 crystal, with properties calculated at the PBE level.

```
CoPbCl2
1.0
3.363 0.000 0.000
0.000 3.363 0.000
0.000 0.000 8.313
Co Pb Cl
1 1 2
Direct
0.000 0.000 0.000 Co
0.500 0.500 0.465 Pb
0.000 0.000 0.732 Cl
0.500 0.500 0.085 Cl
```

Computed properties:
* ΔE_f (raw): -0.195 eV/atom
* distance to the lowest polymorph of the same formula: 0.2023 eV/atom
* DOS(E_F): 3.56 states/eV per cell
* symmetry: No. 99
* magnetic moment: 2.30 Bohr magnetons per cell

(3)
Below is a relaxed LiCeTlAu crystal, with properties calculated at the PBE level.

```
LiCeTlAu
1.0
0.000 3.609 3.609
3.609 0.000 3.609
3.609 3.609 0.000
Li Ce Tl Au
1 1 1 1
Direct
0.000 0.000 0.000 Li
0.500 0.500 0.500 Ce
0.250 0.250 0.250 Tl
0.750 0.750 0.750 Au
```

Computed properties:
* distance to the lowest polymorph of the same formula: 0.0117 eV/atom
* DOS(E_F): 6.61 states/eV per cell
* ΔH_f (0 K): -1.56 eV/f.u.
* symmetry: No. 216
* magnetic moment: 0.83 Bohr magnetons per cell

(4)
Below is a relaxed Ce4Ga2Au crystal, with properties calculated at the PBE level.

```
Ce4Ga2Au
1.0
2.146 1.239 11.897
-2.146 1.239 11.897
0.000 -2.478 11.897
Ce Ga Au
4 2 1
Direct
0.116 0.116 0.116 Ce
0.314 0.314 0.314 Ce
0.686 0.686 0.686 Ce
0.884 0.884 0.884 Ce
0.401 0.401 0.401 Ga
0.599 0.599 0.599 Ga
0.500 0.500 0.500 Au
```

Computed properties:
* DOS(E_F): 17.84 states/eV per cell
* ΔH_f (0 K): -1.95 eV/f.u.
* symmetry: No. 166
* magnetic moment: 1.17 Bohr magnetons per cell

(5)
Below is a relaxed SrInPd2I crystal, with properties calculated at the PBE level.

```
SrInPd2I
1.0
5.281 0.000 0.000
0.000 5.281 0.000
0.000 0.000 6.829
Sr In Pd I
1 1 2 1
Direct
0.000 0.000 0.000 Sr
0.000 0.000 0.500 In
0.000 0.500 0.000 Pd
0.500 0.000 0.000 Pd
0.500 0.500 0.500 I
```

Computed properties:
* ΔE_f (raw): 0.515 eV/atom
* DOS(E_F): 0.81 states/eV per cell
* symmetry: No. 123
* magnetic moment: 0.00 Bohr magnetons per cell

(6)
Below is a relaxed Tc2Te3 crystal, with properties calculated at the PBE level.

```
Tc2Te3
1.0
4.539 0.000 0.000
-2.269 3.930 0.000
0.000 0.000 7.040
Tc Te
2 3
Direct
0.333 0.667 0.397 Tc
0.667 0.333 0.603 Tc
0.000 0.000 0.500 Te
0.333 0.667 0.784 Te
0.667 0.333 0.216 Te
```

Computed properties:
* ΔE_f (raw): 0.204 eV/atom
* distance to the lowest polymorph of the same formula: 0.1066 eV/atom
* DOS(E_F): 6.38 states/eV per cell
* symmetry: No. 164
* magnetic moment: 0.00 Bohr magnetons per cell

(7)
Below is a relaxed Rb3Tl2Sn4 crystal, with properties calculated at the PBE level.

```
Rb3Tl2Sn4
1.0
7.005 -2.580 0.000
7.005 2.580 0.000
-6.881 0.000 9.230
Rb Tl Sn
3 2 4
Direct
0.000 0.000 0.000 Rb
0.294 0.294 0.359 Rb
0.706 0.706 0.641 Rb
0.480 0.480 0.769 Tl
0.520 0.520 0.231 Tl
0.000 0.000 0.365 Sn
0.000 0.000 0.635 Sn
0.248 0.248 0.924 Sn
0.752 0.752 0.076 Sn
```

Computed properties:
* distance to the lowest polymorph of the same formula: 0.0000 eV/atom
* DOS(E_F): 3.86 states/eV per cell
* ΔH_f (0 K): -1.17 eV/f.u.
* symmetry: No. 12
* magnetic moment: 0.00 Bohr magnetons per cell

(8)
Below is a relaxed Ga6Sb crystal, with properties calculated at the PBE level.

```
Ga6Sb
1.0
-3.554 3.554 3.554
3.554 -3.554 3.554
3.554 3.554 -3.554
Ga Sb
6 1
Direct
0.250 0.500 0.750 Ga
0.250 0.750 0.500 Ga
0.500 0.250 0.750 Ga
0.500 0.750 0.250 Ga
0.750 0.250 0.500 Ga
0.750 0.500 0.250 Ga
0.000 0.000 0.000 Sb
```

Computed properties:
* ΔE_f (raw): 0.410 eV/atom
* DOS(E_F): 4.18 states/eV per cell
* symmetry: No. 229
* magnetic moment: 0.00 Bohr magnetons per cell

(9)
Below is a relaxed SrReTcN2 crystal, with properties calculated at the PBE level.

```
SrReTcN2
1.0
4.000 0.000 0.000
0.000 4.000 0.000
0.000 0.000 6.199
Sr Re Tc N
1 1 1 2
Direct
0.000 0.000 0.000 Sr
0.500 0.500 0.000 Re
0.000 0.000 0.500 Tc
0.000 0.500 0.500 N
0.500 0.000 0.500 N
```

Computed properties:
* ΔE_f (raw): 1.851 eV/atom
* DOS(E_F): 4.09 states/eV per cell
* symmetry: No. 123
* magnetic moment: 3.85 Bohr magnetons per cell

(10)
Below is a relaxed GaHgAsSe2 crystal, with properties calculated at the PBE level.

```
GaHgAsSe2
1.0
5.010 0.000 0.000
0.000 5.010 0.000
0.000 0.000 5.072
Ga Hg As Se
1 1 1 2
Direct
0.000 0.000 0.000 Ga
0.500 0.500 0.500 Hg
0.000 0.000 0.500 As
0.000 0.500 0.000 Se
0.500 0.000 0.000 Se
```

Computed properties:
* ΔE_f (raw): 0.445 eV/atom
* distance to the lowest polymorph of the same formula: 0.0000 eV/atom
* DOS(E_F): 5.74 states/eV per cell
* symmetry: No. 123
* magnetic moment: 0.00 Bohr magnetons per cell

(11)
Below is a relaxed BaLa2Rh crystal, with properties calculated at the PBE level.

```
BaLa2Rh
1.0
-2.438 2.438 4.980
2.438 -2.438 4.980
2.438 2.438 -4.980
Ba La Rh
1 2 1
Direct
0.000 0.000 0.000 Ba
0.250 0.750 0.500 La
0.750 0.250 0.500 La
0.500 0.500 0.000 Rh
```

Computed properties:
* distance to the lowest polymorph of the same formula: 0.5863 eV/atom
* DOS(E_F): 6.18 states/eV per cell
* ΔH_f (0 K): 0.68 eV/f.u.
* symmetry: No. 139
* magnetic moment: 0.00 Bohr magnetons per cell

(12)
Below is a relaxed ScWBr2 crystal, with properties calculated at the PBE level.

```
ScWBr2
1.0
4.641 0.000 0.000
0.000 4.641 0.000
0.000 0.000 3.357
Sc W Br
1 1 2
Direct
0.000 0.000 0.000 Sc
0.500 0.500 0.000 W
0.000 0.500 0.500 Br
0.500 0.000 0.500 Br
```

Computed properties:
* ΔE_f (raw): 0.498 eV/atom
* distance to the lowest polymorph of the same formula: 0.8294 eV/atom
* DOS(E_F): 3.88 states/eV per cell
* symmetry: No. 123
* magnetic moment: 0.00 Bohr magnetons per cell

Please write out number 4 again, unchanged.
Below is a relaxed Ce4Ga2Au crystal, with properties calculated at the PBE level.

```
Ce4Ga2Au
1.0
2.146 1.239 11.897
-2.146 1.239 11.897
0.000 -2.478 11.897
Ce Ga Au
4 2 1
Direct
0.116 0.116 0.116 Ce
0.314 0.314 0.314 Ce
0.686 0.686 0.686 Ce
0.884 0.884 0.884 Ce
0.401 0.401 0.401 Ga
0.599 0.599 0.599 Ga
0.500 0.500 0.500 Au
```

Computed properties:
* DOS(E_F): 17.84 states/eV per cell
* ΔH_f (0 K): -1.95 eV/f.u.
* symmetry: No. 166
* magnetic moment: 1.17 Bohr magnetons per cell